Entry 1:
A plane-wave DFT calculation with PBE-GGA was carried out for Cd7Hg3Bi2 after structural relaxation.

The space group is P-1 (No. 2) and the conventional cell measures 4.019, 6.826 and 11.986 Å, with angles of 100.20, 98.90 and 90.57 degrees. Symmetry generates all atoms from Cd at (0.000, 0.000, 0.000), Cd at (0.255, 0.814, 0.482), Cd at (0.420, 0.252, 0.825), Cd at (0.442, 0.711, 0.873), Hg at (0.000, 0.500, 0.000), Hg at (0.296, 0.490, 0.629) and Bi at (0.144, 0.079, 0.292).

As for the formation energy: 0.05 eV per atom. The crystal system is triclinic. The volume comes out at 319.5 Å³ per cell.



Entry 2:
A plane-wave DFT calculation with PBE-GGA was carried out for LiHgMo2 after structural relaxation.

The space group is Cmm2 (No. 35) and the conventional cell measures 3.231, 4.657 and 9.210 Å, with angles of 90.00, 90.00 and 90.00 degrees. Symmetry generates all atoms from Li at (0.000, 0.000, 0.000), Hg at (0.000, 0.500, 0.750), Mo at (0.000, 0.000, 0.470) and Mo at (0.000, 0.500, 0.252).

As for the formation energy: 0.25 eV per atom. The crystal system is orthorhombic. The volume comes out at 138.6 Å³ per cell.



Entry 3:
A plane-wave DFT calculation with PBE-GGA was carried out for Tl2SbPd9 after structural relaxation.

The space group is P4/mmm (No. 123) and the conventional cell measures 4.061, 4.061 and 12.298 Å, with angles of 90.00, 90.00 and 90.00 degrees. Symmetry generates all atoms from Tl at (0.000, 0.000, 0.166), Sb at (0.000, 0.000, 0.500), Pd at (0.000, 0.500, 0.000), Pd at (0.000, 0.500, 0.339), Pd at (0.500, 0.500, 0.171) and Pd at (0.500, 0.500, 0.500).

For the uncorrected formation energy, the calculation gives -0.278 eV/atom. The crystal system is tetragonal. The volume comes out at 202.8 Å³ per cell.



Entry 4:
A plane-wave DFT calculation with PBE-GGA was carried out for TlCdRu2 after structural relaxation.

The space group is R-3m (No. 166, hexagonal axes) and the conventional cell measures 3.0153, 3.0153 and 26.9263 Å, with angles of 90.00, 90.00 and 120.00 degrees. Symmetry generates all atoms from Tl at (0.0000, 0.0000, 0.0000), Cd at (0.0000, 0.0000, 0.5000) and Ru at (0.0000, 0.0000, 0.2506).

As for the formation energy: 0.61 eV per atom. The crystal system is trigonal. The volume comes out at 212.0 Å³ per cell.



Entry 5:
A plane-wave DFT calculation with PBE-GGA was carried out for MgAl3Pd after structural relaxation.

The space group is Pnma (No. 62) and the conventional cell measures 8.327, 3.904 and 11.009 Å, with angles of 90.00, 90.00 and 90.00 degrees. Symmetry generates all atoms from Mg at (0.160, 0.250, 0.013), Al at (0.046, 0.250, 0.412), Al at (0.066, 0.750, 0.212), Al at (0.178, 0.750, 0.787) and Pd at (0.153, 0.250, 0.629).

For the energy above the most stable polymorph in this dataset, the calculation gives 0 meV/atom. As for the formation energy: -0.38 eV per atom. The crystal system is orthorhombic. The volume comes out at 357.9 Å³ per cell.



Entry 6:
A plane-wave DFT calculation with PBE-GGA was carried out for MgBeTl2B after structural relaxation.

The space group is P4/mmm (No. 123) and the conventional cell measures 5.453, 5.453 and 4.713 Å, with angles of 90.00, 90.00 and 90.00 degrees. Symmetry generates all atoms from Mg at (0.000, 0.000, 0.000), Be at (0.000, 0.000, 0.500), Tl at (0.000, 0.500, 0.000) and B at (0.500, 0.500, 0.500).

As for the formation energy: 1.60 eV per atom. The crystal system is tetragonal. The volume comes out at 140.1 Å³ per cell.